No. 1
{"formula": "YHoCdCo", "functional": "PBE", "state": "optimized geometry", "magmom_total_mub_per_fu": 0.5, "total_energy_ev_per_atom": -5.0269, "ef_ev_per_atom": -0.261, "dos_ef_per_ev_cell": 2.3, "lattice": [[3.429, 0.000, 0.000], [0.000, 3.429, 0.000], [0.000, 0.000, 7.610]], "species": ["Y", "Ho", "Cd", "Co"], "frac_coords": [[0.000, 0.000, 0.000], [0.000, 0.000, 0.426], [0.500, 0.500, 0.711], [0.500, 0.500, 0.218]]}


No. 2
{"formula": "KAuBr", "functional": "PBE", "state": "optimized geometry", "magmom_total_mub_per_fu": 0.0, "total_energy_ev_per_atom": -2.4229, "dos_ef_per_ev_cell": 2.2, "lattice": [[-2.209, 2.229, 5.002], [2.209, -2.229, 5.002], [2.209, 2.229, -5.002]], "species": ["K", "Au", "Br"], "frac_coords": [[0.000, 0.000, 0.000], [0.654, 0.654, 0.000], [0.385, 0.385, 0.000]]}